[1]
The following is a GGA-PBE calculation of a relaxed LiAcAlIn2 crystal, from Alexandria via LeMat-Bulk.

Lattice parameters (Å, degrees): 6.7638 6.7638 6.7638 139.86 139.86 58.07
Sites, in units of the cell vectors:
Li (0.0000, 0.0000, 0.0000)
Ac (0.2500, 0.7500, 0.5000)
Al (0.5000, 0.5000, 0.0000)
In (0.6286, 0.1286, 0.5000)
In (0.8714, 0.3714, 0.5000)

Properties
- Energy of formation from the pure elements: -35 kJ per mole of atoms
- Magnetization: 0.000 μB per atom



[2]
The following is a GGA-PBE calculation of a relaxed KSr2Ag crystal, from Alexandria via LeMat-Bulk.

Lattice parameters (Å, degrees): 7.1810 7.1810 7.1810 136.93 136.93 62.54
Sites, in units of the cell vectors:
K (0.0000, 0.0000, 0.0000)
Sr (0.2500, 0.7500, 0.5000)
Sr (0.5000, 0.5000, 0.0000)
Ag (0.7500, 0.2500, 0.5000)

Properties
- Energy of formation from the pure elements: 14 kJ per mole of atoms
- Magnetization: 0.000 μB per atom
- Polymorph energy (0 for the lowest one): 0.234 eV/atom



[3]
The following is a GGA-PBE calculation of a relaxed KTa2AsOs crystal, from Alexandria via LeMat-Bulk.

Lattice parameters (Å, degrees): 4.8303 4.8303 5.7241 90.00 90.00 90.00
Sites, in units of the cell vectors:
K (0.0000, 0.0000, 0.0000)
Ta (0.0000, 0.5000, 0.5000)
Ta (0.5000, 0.0000, 0.5000)
As (0.5000, 0.5000, 0.0000)
Os (0.0000, 0.0000, 0.5000)

Properties
- Energy of formation from the pure elements: 135 kJ per mole of atoms
- Magnetization: 0.000 μB per atom



[4]
The following is a GGA-PBE calculation of a relaxed KTc2Pb crystal, from Alexandria via LeMat-Bulk.

Lattice parameters (Å, degrees): 10.5792 10.5792 10.5792 154.14 154.14 36.89
Sites, in units of the cell vectors:
K (0.0000, 0.0000, 0.0000)
K (0.7500, 0.2500, 0.5000)
Tc (0.3339, 0.1250, 0.7089)
Tc (0.3750, 0.6661, 0.7911)
Tc (0.4161, 0.6250, 0.2911)
Tc (0.8750, 0.5839, 0.2089)
Pb (0.2500, 0.7500, 0.5000)
Pb (0.5000, 0.5000, 0.0000)

Properties
- Energy of formation from the pure elements: 113 kJ per mole of atoms
- Magnetization: 0.228 μB per atom



[5]
The following is a GGA-PBE calculation of a relaxed Cd2AsIr crystal, from Alexandria via LeMat-Bulk.

Lattice parameters (Å, degrees): 9.1068 9.1068 9.1068 20.78 20.78 20.78
Sites, in units of the cell vectors:
Cd (0.0000, 0.0000, 0.0000)
Cd (0.2360, 0.2360, 0.2360)
As (0.7656, 0.7656, 0.7656)
Ir (0.4883, 0.4883, 0.4883)

Properties
- Energy of formation from the pure elements: 1 kJ per mole of atoms
- Magnetization: 0.000 μB per atom



no.,E_tot (eV for the cell shown),Fermi-level density of states (states/eV per atom)
1,-17.06,0.319
2,-6.75,0.666
3,-33.69,0.749
4,-41.73,1.070
5,-15.29,0.441